{
  "formula": "AcHo3Ir",
  "functional": "PBE-GGA",
  "state": "optimized geometry",
  "lattice": [[5.484, 0.000, 0.000], [0.000, 5.484, 0.000], [0.000, 0.000, 5.484]],
  "species": ["Ac", "Ho", "Ho", "Ho", "Ir"],
  "frac_coords": [[0.000, 0.000, 0.000], [0.000, 0.500, 0.500], [0.500, 0.000, 0.500], [0.500, 0.500, 0.000], [0.500, 0.500, 0.500]],
  "sg": "No. 221",
  "e_tot_ev_per_fu": -28.4,
  "delta_e_f_ev_per_atom": -0.344
}